## Nd3GaS (PBE)

Data for Nd3GaS after structural relaxation.

CIF file:
```
data_Nd3GaS
_cell_length_a 8.146
_cell_length_b 4.121
_cell_length_c 8.711
_cell_angle_alpha 90.00
_cell_angle_beta 99.27
_cell_angle_gamma 90.00
_space_group_name_H-M_alt 'P 1'
_space_group_IT_number 1
loop_
_space_group_symop_operation_xyz
'x,y,z'
loop_
_atom_site_label
_atom_site_fract_x
_atom_site_fract_y
_atom_site_fract_z
Nd1 0.074 0.250 0.318
Nd2 0.298 0.250 0.969
Nd3 0.394 0.750 0.630
Nd4 0.606 0.250 0.370
Nd5 0.702 0.750 0.031
Nd6 0.926 0.750 0.682
Ga1 0.340 0.750 0.241
Ga2 0.660 0.250 0.759
S1 0.156 0.250 0.646
S2 0.844 0.750 0.354
```

Results
- E_tot: -5.286 eV/atom
- Symmetry: P2_1/m, No. 11
- Crystal system: monoclinic

=====

## Nd4GaSe2S (PBE)

Data for Nd4GaSe2S after structural relaxation.

CIF file:
```
data_Nd4GaSe2S
_cell_length_a 7.300
_cell_length_b 4.183
_cell_length_c 7.381
_cell_angle_alpha 90.00
_cell_angle_beta 109.05
_cell_angle_gamma 90.00
_space_group_name_H-M_alt 'P 1'
_space_group_IT_number 1
loop_
_space_group_symop_operation_xyz
'x,y,z'
loop_
_atom_site_label
_atom_site_fract_x
_atom_site_fract_y
_atom_site_fract_z
Nd1 0.245 0.000 0.237
Nd2 0.250 0.500 0.756
Nd3 0.750 0.500 0.244
Nd4 0.755 0.000 0.763
Ga1 0.500 0.000 0.000
Se1 0.000 0.000 0.500
Se2 0.500 0.500 0.500
S1 0.000 0.500 0.000
```

Results
- E_tot: -5.733 eV/atom
- Symmetry: P2/m, No. 10
- Crystal system: monoclinic

=====

## Nd6GaSe3S2 (PBE)

Data for Nd6GaSe3S2 after structural relaxation.

CIF file:
```
data_Nd6GaSe3S2
_cell_length_a 9.445
_cell_length_b 9.445
_cell_length_c 8.515
_cell_angle_alpha 104.05
_cell_angle_beta 104.05
_cell_angle_gamma 25.27
_space_group_name_H-M_alt 'P 1'
_space_group_IT_number 1
loop_
_space_group_symop_operation_xyz
'x,y,z'
loop_
_atom_site_label
_atom_site_fract_x
_atom_site_fract_y
_atom_site_fract_z
Nd1 0.003 0.003 0.250
Nd2 0.330 0.330 0.428
Nd3 0.336 0.336 0.909
Nd4 0.664 0.664 0.091
Nd5 0.670 0.670 0.572
Nd6 0.997 0.997 0.750
Ga1 0.500 0.500 0.000
Se1 0.167 0.167 0.830
Se2 0.500 0.500 0.500
Se3 0.833 0.833 0.170
S1 0.169 0.169 0.334
S2 0.831 0.831 0.666
```

Results
- E_tot: -5.893 eV/atom
- Symmetry: C2/m, No. 12
- Crystal system: monoclinic

=====

## Sr2NdGaS5 (PBE)

Data for Sr2NdGaS5 after structural relaxation.

CIF file:
```
data_Sr2NdGaS5
_cell_length_a 9.386
_cell_length_b 9.386
_cell_length_c 12.348
_cell_angle_alpha 90.00
_cell_angle_beta 90.00
_cell_angle_gamma 155.36
_space_group_name_H-M_alt 'P 1'
_space_group_IT_number 1
loop_
_space_group_symop_operation_xyz
'x,y,z'
loop_
_atom_site_label
_atom_site_fract_x
_atom_site_fract_y
_atom_site_fract_z
Sr1 0.113 0.887 0.500
Sr2 0.121 0.879 0.143
Sr3 0.879 0.121 0.643
Sr4 0.887 0.113 0.000
Nd1 0.208 0.792 0.845
Nd2 0.792 0.208 0.345
Ga1 0.445 0.555 0.249
Ga2 0.555 0.445 0.749
S1 0.042 0.958 0.853
S2 0.295 0.705 0.500
S3 0.324 0.676 0.184
S4 0.356 0.644 0.825
S5 0.497 0.503 0.589
S6 0.503 0.497 0.089
S7 0.644 0.356 0.325
S8 0.676 0.324 0.684
S9 0.705 0.295 0.000
S10 0.958 0.042 0.353
```

Results
- E_tot: -5.247 eV/atom
- Symmetry: Cmc2_1, No. 36
- Crystal system: orthorhombic

=====

## Nd4GaTeS2 (PBE)

Data for Nd4GaTeS2 after structural relaxation.

CIF file:
```
data_Nd4GaTeS2
_cell_length_a 7.388
_cell_length_b 4.147
_cell_length_c 7.466
_cell_angle_alpha 90.00
_cell_angle_beta 108.43
_cell_angle_gamma 90.00
_space_group_name_H-M_alt 'P 1'
_space_group_IT_number 1
loop_
_space_group_symop_operation_xyz
'x,y,z'
loop_
_atom_site_label
_atom_site_fract_x
_atom_site_fract_y
_atom_site_fract_z
Nd1 0.228 0.000 0.227
Nd2 0.235 0.500 0.751
Nd3 0.765 0.500 0.249
Nd4 0.772 0.000 0.773
Ga1 0.500 0.000 0.000
Te1 0.500 0.500 0.500
S1 0.000 0.000 0.500
S2 0.000 0.500 0.000
```

Results
- E_tot: -5.678 eV/atom
- Symmetry: P2/m, No. 10
- Crystal system: monoclinic

=====

## Nd4GaTe2S (PBE)

Data for Nd4GaTe2S after structural relaxation.

CIF file:
```
data_Nd4GaTe2S
_cell_length_a 7.464
_cell_length_b 4.288
_cell_length_c 7.725
_cell_angle_alpha 90.00
_cell_angle_beta 108.70
_cell_angle_gamma 90.00
_space_group_name_H-M_alt 'P 1'
_space_group_IT_number 1
loop_
_space_group_symop_operation_xyz
'x,y,z'
loop_
_atom_site_label
_atom_site_fract_x
_atom_site_fract_y
_atom_site_fract_z
Nd1 0.239 0.000 0.218
Nd2 0.257 0.500 0.773
Nd3 0.743 0.500 0.227
Nd4 0.761 0.000 0.782
Ga1 0.500 0.000 0.000
Te1 0.000 0.000 0.500
Te2 0.500 0.500 0.500
S1 0.000 0.500 0.000
```

Results
- E_tot: -5.446 eV/atom
- Symmetry: P2/m, No. 10
- Crystal system: monoclinic

=====

## Nd3GaSb (PBE)

Data for Nd3GaSb after structural relaxation.

CIF file:
```
data_Nd3GaSb
_cell_length_a 10.474
_cell_length_b 6.435
_cell_length_c 11.203
_cell_angle_alpha 90.00
_cell_angle_beta 122.15
_cell_angle_gamma 90.00
_space_group_name_H-M_alt 'P 1'
_space_group_IT_number 1
loop_
_space_group_symop_operation_xyz
'x,y,z'
loop_
_atom_site_label
_atom_site_fract_x
_atom_site_fract_y
_atom_site_fract_z
Nd1 0.000 0.000 0.250
Nd2 0.000 0.000 0.750
Nd3 0.000 0.500 0.250
Nd4 0.000 0.500 0.750
Nd5 0.241 0.250 0.120
Nd6 0.241 0.250 0.620
Nd7 0.359 0.750 0.429
Nd8 0.359 0.750 0.929
Nd9 0.641 0.250 0.071
Nd10 0.641 0.250 0.571
Nd11 0.759 0.750 0.380
Nd12 0.759 0.750 0.880
Ga1 0.308 0.249 0.403
Ga2 0.308 0.251 0.903
Ga3 0.692 0.749 0.097
Ga4 0.692 0.751 0.597
Sb1 0.149 0.750 0.074
Sb2 0.149 0.750 0.574
Sb3 0.851 0.250 0.426
Sb4 0.851 0.250 0.926
```

Results
- E_tot: -4.889 eV/atom
- Symmetry: P2_1/c, No. 14
- Crystal system: monoclinic

=====

## Nd2GaSb (PBE)

Data for Nd2GaSb after structural relaxation.

CIF file:
```
data_Nd2GaSb
_cell_length_a 8.041
_cell_length_b 8.041
_cell_length_c 8.041
_cell_angle_alpha 31.14
_cell_angle_beta 31.14
_cell_angle_gamma 31.14
_space_group_name_H-M_alt 'P 1'
_space_group_IT_number 1
loop_
_space_group_symop_operation_xyz
'x,y,z'
loop_
_atom_site_label
_atom_site_fract_x
_atom_site_fract_y
_atom_site_fract_z
Nd1 0.249 0.249 0.249
Nd2 0.751 0.751 0.751
Ga1 0.000 0.000 0.000
Sb1 0.500 0.500 0.500
```

Results
- Offset from the most stable computed form: 123 meV/atom
- Symmetry: R-3m, No. 166
- Crystal system: trigonal

=====

## NdGa4Sb (PBE)

Data for NdGa4Sb after structural relaxation.

CIF file:
```
data_NdGa4Sb
_cell_length_a 5.671
_cell_length_b 5.671
_cell_length_c 5.671
_cell_angle_alpha 60.00
_cell_angle_beta 60.00
_cell_angle_gamma 60.00
_space_group_name_H-M_alt 'P 1'
_space_group_IT_number 1
loop_
_space_group_symop_operation_xyz
'x,y,z'
loop_
_atom_site_label
_atom_site_fract_x
_atom_site_fract_y
_atom_site_fract_z
Nd1 0.000 0.000 0.000
Ga1 0.125 0.625 0.625
Ga2 0.625 0.125 0.625
Ga3 0.625 0.625 0.125
Ga4 0.625 0.625 0.625
Sb1 0.250 0.250 0.250
```

Results
- E_tot: -3.764 eV/atom
- Symmetry: F-43m, No. 216
- Crystal system: cubic

=====

## Nd4GaSb (PBE)

Data for Nd4GaSb after structural relaxation.

CIF file:
```
data_Nd4GaSb
_cell_length_a 8.351
_cell_length_b 8.351
_cell_length_c 6.219
_cell_angle_alpha 102.08
_cell_angle_beta 102.08
_cell_angle_gamma 115.45
_space_group_name_H-M_alt 'P 1'
_space_group_IT_number 1
loop_
_space_group_symop_operation_xyz
'x,y,z'
loop_
_atom_site_label
_atom_site_fract_x
_atom_site_fract_y
_atom_site_fract_z
Nd1 0.077 0.708 0.936
Nd2 0.219 0.383 0.658
Nd3 0.292 0.923 0.564
Nd4 0.383 0.219 0.158
Nd5 0.617 0.781 0.842
Nd6 0.708 0.077 0.436
Nd7 0.781 0.617 0.342
Nd8 0.923 0.292 0.064
Ga1 0.001 0.999 0.250
Ga2 0.999 0.001 0.750
Sb1 0.381 0.619 0.250
Sb2 0.619 0.381 0.750
```

Results
- Offset from the most stable computed form: 0 meV/atom
- Symmetry: C2/c, No. 15
- Crystal system: monoclinic

=====

## Nd5Ga2Sb2 (PBE)

Data for Nd5Ga2Sb2 after structural relaxation.

CIF file:
```
data_Nd5Ga2Sb2
_cell_length_a 8.958
_cell_length_b 8.958
_cell_length_c 8.182
_cell_angle_alpha 90.00
_cell_angle_beta 90.00
_cell_angle_gamma 54.59
_space_group_name_H-M_alt 'P 1'
_space_group_IT_number 1
loop_
_space_group_symop_operation_xyz
'x,y,z'
loop_
_atom_site_label
_atom_site_fract_x
_atom_site_fract_y
_atom_site_fract_z
Nd1 0.000 0.000 0.000
Nd2 0.040 0.692 0.670
Nd3 0.192 0.540 0.170
Nd4 0.308 0.960 0.670
Nd5 0.460 0.808 0.170
Nd6 0.500 0.500 0.500
Nd7 0.540 0.192 0.830
Nd8 0.692 0.040 0.330
Nd9 0.808 0.460 0.830
Nd10 0.960 0.308 0.330
Ga1 0.119 0.881 0.384
Ga2 0.381 0.619 0.884
Ga3 0.619 0.381 0.116
Ga4 0.881 0.119 0.616
Sb1 0.205 0.205 0.000
Sb2 0.295 0.295 0.500
Sb3 0.705 0.705 0.500
Sb4 0.795 0.795 0.000
```

Results
- E_tot: -5.053 eV/atom
- Symmetry: Cmce, No. 64
- Crystal system: orthorhombic

=====

## NdGa2Sb (PBE)

Data for NdGa2Sb after structural relaxation.

CIF file:
```
data_NdGa2Sb
_cell_length_a 4.619
_cell_length_b 4.619
_cell_length_c 4.423
_cell_angle_alpha 90.00
_cell_angle_beta 90.00
_cell_angle_gamma 90.00
_space_group_name_H-M_alt 'P 1'
_space_group_IT_number 1
loop_
_space_group_symop_operation_xyz
'x,y,z'
loop_
_atom_site_label
_atom_site_fract_x
_atom_site_fract_y
_atom_site_fract_z
Nd1 0.000 0.000 0.000
Ga1 0.000 0.500 0.500
Ga2 0.500 0.000 0.500
Sb1 0.500 0.500 0.000
```

Results
- E_tot: -4.281 eV/atom
- Symmetry: P4/mmm, No. 123
- Crystal system: tetragonal